#i
The following is a GGA-PBE calculation of a geometry-optimized RbMgTaNi structure, from OQMD via LeMat-Bulk.

Cell and atoms, written as CIF:
```
data_RbMgTaNi
_chemical_formula_sum 'Rb4 Mg4 Ta4 Ni4'
_cell_length_a 6.9873
_cell_length_b 6.9873
_cell_length_c 6.9873
_cell_angle_alpha 90.00
_cell_angle_beta 90.00
_cell_angle_gamma 90.00
_symmetry_space_group_name_H-M 'F -4 3 m'
_symmetry_Int_Tables_number 216
_symmetry_space_group_name_Hall 'F -4 2 3'
loop_
_atom_site_label
_atom_site_type_symbol
_atom_site_fract_x
_atom_site_fract_y
_atom_site_fract_z
Rb1 Rb 0.0000 0.0000 0.0000
Mg1 Mg 0.0000 0.0000 0.5000
Ta1 Ta 0.2500 0.2500 0.2500
Ni1 Ni 0.2500 0.2500 0.7500
```

Its crystal system is cubic.

=====

#ii
The following is a GGA-PBE calculation of a geometry-optimized RbMgTaNi structure, from OQMD via LeMat-Bulk.

Cell and atoms, written as CIF:
```
data_RbMgTaNi
_chemical_formula_sum 'Rb4 Mg4 Ta4 Ni4'
_cell_length_a 6.7855
_cell_length_b 6.7855
_cell_length_c 6.7855
_cell_angle_alpha 90.00
_cell_angle_beta 90.00
_cell_angle_gamma 90.00
_symmetry_space_group_name_H-M 'F -4 3 m'
_symmetry_Int_Tables_number 216
_symmetry_space_group_name_Hall 'F -4 2 3'
loop_
_atom_site_label
_atom_site_type_symbol
_atom_site_fract_x
_atom_site_fract_y
_atom_site_fract_z
Rb1 Rb 0.0000 0.0000 0.0000
Mg1 Mg 0.2500 0.2500 0.7500
Ta1 Ta 0.2500 0.2500 0.2500
Ni1 Ni 0.0000 0.0000 0.5000
```

Its crystal system is cubic.

=====

Which one is most stable, and which one is least stable? #ii is the most stable of them, while #i is the least stable.

=====

#i
The following is a GGA-PBE calculation of a geometry-optimized MgScNiSb structure, from OQMD via LeMat-Bulk.

Cell and atoms, written as CIF:
```
data_MgScNiSb
_chemical_formula_sum 'Mg4 Sc4 Ni4 Sb4'
_cell_length_a 6.7105
_cell_length_b 6.7105
_cell_length_c 6.7105
_cell_angle_alpha 90.00
_cell_angle_beta 90.00
_cell_angle_gamma 90.00
_symmetry_space_group_name_H-M 'F -4 3 m'
_symmetry_Int_Tables_number 216
_symmetry_space_group_name_Hall 'F -4 2 3'
loop_
_atom_site_label
_atom_site_type_symbol
_atom_site_fract_x
_atom_site_fract_y
_atom_site_fract_z
Mg1 Mg 0.0000 0.0000 0.0000
Sc1 Sc 0.0000 0.0000 0.5000
Ni1 Ni 0.2500 0.2500 0.2500
Sb1 Sb 0.2500 0.2500 0.7500
```

Its crystal system is cubic.

=====

#ii
The following is a GGA-PBE calculation of a geometry-optimized MgScNiSb structure, from OQMD via LeMat-Bulk.

Cell and atoms, written as CIF:
```
data_MgScNiSb
_chemical_formula_sum 'Mg4 Sc4 Ni4 Sb4'
_cell_length_a 6.6806
_cell_length_b 6.6806
_cell_length_c 6.6806
_cell_angle_alpha 90.00
_cell_angle_beta 90.00
_cell_angle_gamma 90.00
_symmetry_space_group_name_H-M 'F -4 3 m'
_symmetry_Int_Tables_number 216
_symmetry_space_group_name_Hall 'F -4 2 3'
loop_
_atom_site_label
_atom_site_type_symbol
_atom_site_fract_x
_atom_site_fract_y
_atom_site_fract_z
Mg1 Mg 0.0000 0.0000 0.0000
Sc1 Sc 0.2500 0.2500 0.2500
Ni1 Ni 0.2500 0.2500 0.7500
Sb1 Sb 0.0000 0.0000 0.5000
```

Its crystal system is cubic.

=====

#iii
The following is a GGA-PBE calculation of a geometry-optimized MgScNiSb structure, from OQMD via LeMat-Bulk.

Cell and atoms, written as CIF:
```
data_MgScNiSb
_chemical_formula_sum 'Mg4 Sc4 Ni4 Sb4'
_cell_length_a 6.6689
_cell_length_b 6.6689
_cell_length_c 6.6689
_cell_angle_alpha 90.00
_cell_angle_beta 90.00
_cell_angle_gamma 90.00
_symmetry_space_group_name_H-M 'F -4 3 m'
_symmetry_Int_Tables_number 216
_symmetry_space_group_name_Hall 'F -4 2 3'
loop_
_atom_site_label
_atom_site_type_symbol
_atom_site_fract_x
_atom_site_fract_y
_atom_site_fract_z
Mg1 Mg 0.0000 0.0000 0.0000
Sc1 Sc 0.2500 0.2500 0.2500
Ni1 Ni 0.0000 0.0000 0.5000
Sb1 Sb 0.2500 0.2500 0.7500
```

Its crystal system is cubic.

=====

Which one is most stable, and which one is least stable? #i is the most stable of them, while #iii is the least stable.

=====

#i
The following is a GGA-PBE calculation of a geometry-optimized MgScSiNi structure, from OQMD via LeMat-Bulk.

Cell and atoms, written as CIF:
```
data_MgScSiNi
_chemical_formula_sum 'Mg4 Sc4 Si4 Ni4'
_cell_length_a 6.2120
_cell_length_b 6.2120
_cell_length_c 6.2120
_cell_angle_alpha 90.00
_cell_angle_beta 90.00
_cell_angle_gamma 90.00
_symmetry_space_group_name_H-M 'F -4 3 m'
_symmetry_Int_Tables_number 216
_symmetry_space_group_name_Hall 'F -4 2 3'
loop_
_atom_site_label
_atom_site_type_symbol
_atom_site_fract_x
_atom_site_fract_y
_atom_site_fract_z
Mg1 Mg 0.0000 0.0000 0.0000
Sc1 Sc 0.2500 0.2500 0.7500
Si1 Si 0.2500 0.2500 0.2500
Ni1 Ni 0.0000 0.0000 0.5000
```

Its crystal system is cubic.

=====

#ii
The following is a GGA-PBE calculation of a geometry-optimized MgScSiNi structure, from OQMD via LeMat-Bulk.

Cell and atoms, written as CIF:
```
data_MgScSiNi
_chemical_formula_sum 'Mg4 Sc4 Si4 Ni4'
_cell_length_a 6.3366
_cell_length_b 6.3366
_cell_length_c 6.3366
_cell_angle_alpha 90.00
_cell_angle_beta 90.00
_cell_angle_gamma 90.00
_symmetry_space_group_name_H-M 'F -4 3 m'
_symmetry_Int_Tables_number 216
_symmetry_space_group_name_Hall 'F -4 2 3'
loop_
_atom_site_label
_atom_site_type_symbol
_atom_site_fract_x
_atom_site_fract_y
_atom_site_fract_z
Mg1 Mg 0.0000 0.0000 0.0000
Sc1 Sc 0.0000 0.0000 0.5000
Si1 Si 0.2500 0.2500 0.2500
Ni1 Ni 0.2500 0.2500 0.7500
```

Its crystal system is cubic.

=====

Which one is most stable, and which one is least stable? #ii is the most stable of them, while #i is the least stable.

=====

#i
The following is a GGA-PBE calculation of a geometry-optimized YMgScNi structure, from OQMD via LeMat-Bulk.

Cell and atoms, written as CIF:
```
data_YMgScNi
_chemical_formula_sum 'Y4 Mg4 Sc4 Ni4'
_cell_length_a 6.8194
_cell_length_b 6.8194
_cell_length_c 6.8194
_cell_angle_alpha 90.00
_cell_angle_beta 90.00
_cell_angle_gamma 90.00
_symmetry_space_group_name_H-M 'F -4 3 m'
_symmetry_Int_Tables_number 216
_symmetry_space_group_name_Hall 'F -4 2 3'
loop_
_atom_site_label
_atom_site_type_symbol
_atom_site_fract_x
_atom_site_fract_y
_atom_site_fract_z
Y1 Y 0.0000 0.0000 0.0000
Mg1 Mg 0.0000 0.0000 0.5000
Sc1 Sc 0.2500 0.2500 0.2500
Ni1 Ni 0.2500 0.2500 0.7500
```

Its crystal system is cubic.

=====

#ii
The following is a GGA-PBE calculation of a geometry-optimized YMgScNi structure, from OQMD via LeMat-Bulk.

Cell and atoms, written as CIF:
```
data_YMgScNi
_chemical_formula_sum 'Y4 Mg4 Sc4 Ni4'
_cell_length_a 6.9368
_cell_length_b 6.9368
_cell_length_c 6.9368
_cell_angle_alpha 90.00
_cell_angle_beta 90.00
_cell_angle_gamma 90.00
_symmetry_space_group_name_H-M 'F -4 3 m'
_symmetry_Int_Tables_number 216
_symmetry_space_group_name_Hall 'F -4 2 3'
loop_
_atom_site_label
_atom_site_type_symbol
_atom_site_fract_x
_atom_site_fract_y
_atom_site_fract_z
Y1 Y 0.0000 0.0000 0.0000
Mg1 Mg 0.2500 0.2500 0.7500
Sc1 Sc 0.0000 0.0000 0.5000
Ni1 Ni 0.2500 0.2500 0.2500
```

Its crystal system is cubic.

=====

Which one is most stable, and which one is least stable? #ii is the most stable of them, while #i is the least stable.

=====

#i
The following is a GGA-PBE calculation of a geometry-optimized SrMgSiNi structure, from OQMD via LeMat-Bulk.

Cell and atoms, written as CIF:
```
data_SrMgSiNi
_chemical_formula_sum 'Sr4 Mg4 Si4 Ni4'
_cell_length_a 6.8872
_cell_length_b 6.8872
_cell_length_c 6.8872
_cell_angle_alpha 90.00
_cell_angle_beta 90.00
_cell_angle_gamma 90.00
_symmetry_space_group_name_H-M 'F -4 3 m'
_symmetry_Int_Tables_number 216
_symmetry_space_group_name_Hall 'F -4 2 3'
loop_
_atom_site_label
_atom_site_type_symbol
_atom_site_fract_x
_atom_site_fract_y
_atom_site_fract_z
Sr1 Sr 0.0000 0.0000 0.0000
Mg1 Mg 0.0000 0.0000 0.5000
Si1 Si 0.2500 0.2500 0.2500
Ni1 Ni 0.2500 0.2500 0.7500
```

Its crystal system is cubic.

=====

#ii
The following is a GGA-PBE calculation of a geometry-optimized SrMgSiNi structure, from OQMD via LeMat-Bulk.

Cell and atoms, written as CIF:
```
data_SrMgSiNi
_chemical_formula_sum 'Sr4 Mg4 Si4 Ni4'
_cell_length_a 6.7521
_cell_length_b 6.7521
_cell_length_c 6.7521
_cell_angle_alpha 90.00
_cell_angle_beta 90.00
_cell_angle_gamma 90.00
_symmetry_space_group_name_H-M 'F -4 3 m'
_symmetry_Int_Tables_number 216
_symmetry_space_group_name_Hall 'F -4 2 3'
loop_
_atom_site_label
_atom_site_type_symbol
_atom_site_fract_x
_atom_site_fract_y
_atom_site_fract_z
Sr1 Sr 0.0000 0.0000 0.0000
Mg1 Mg 0.2500 0.2500 0.7500
Si1 Si 0.2500 0.2500 0.2500
Ni1 Ni 0.0000 0.0000 0.5000
```

Its crystal system is cubic.

=====

Which one is most stable, and which one is least stable? #i is the most stable of them, while #ii is the least stable.

=====

#i
The following is a GGA-PBE calculation of a geometry-optimized MgTaSiNi structure, from OQMD via LeMat-Bulk.

Cell and atoms, written as CIF:
```
data_MgTaSiNi
_chemical_formula_sum 'Mg4 Ta4 Si4 Ni4'
_cell_length_a 6.1508
_cell_length_b 6.1508
_cell_length_c 6.1508
_cell_angle_alpha 90.00
_cell_angle_beta 90.00
_cell_angle_gamma 90.00
_symmetry_space_group_name_H-M 'F -4 3 m'
_symmetry_Int_Tables_number 216
_symmetry_space_group_name_Hall 'F -4 2 3'
loop_
_atom_site_label
_atom_site_type_symbol
_atom_site_fract_x
_atom_site_fract_y
_atom_site_fract_z
Mg1 Mg 0.0000 0.0000 0.0000
Ta1 Ta 0.2500 0.2500 0.2500
Si1 Si 0.0000 0.0000 0.5000
Ni1 Ni 0.2500 0.2500 0.7500
```

Its crystal system is cubic.

=====

#ii
The following is a GGA-PBE calculation of a geometry-optimized MgTaSiNi structure, from OQMD via LeMat-Bulk.

Cell and atoms, written as CIF:
```
data_MgTaSiNi
_chemical_formula_sum 'Mg4 Ta4 Si4 Ni4'
_cell_length_a 6.1941
_cell_length_b 6.1941
_cell_length_c 6.1941
_cell_angle_alpha 90.00
_cell_angle_beta 90.00
_cell_angle_gamma 90.00
_symmetry_space_group_name_H-M 'F -4 3 m'
_symmetry_Int_Tables_number 216
_symmetry_space_group_name_Hall 'F -4 2 3'
loop_
_atom_site_label
_atom_site_type_symbol
_atom_site_fract_x
_atom_site_fract_y
_atom_site_fract_z
Mg1 Mg 0.0000 0.0000 0.0000
Ta1 Ta 0.2500 0.2500 0.7500
Si1 Si 0.2500 0.2500 0.2500
Ni1 Ni 0.0000 0.0000 0.5000
```

Its crystal system is cubic.

=====

Which one is most stable, and which one is least stable? #i is the most stable of them, while #ii is the least stable.

=====

#i
The following is a GGA-PBE calculation of a geometry-optimized MgNi2Sn structure, from OQMD via LeMat-Bulk.

Cell and atoms, written as CIF:
```
data_MgNi2Sn
_chemical_formula_sum 'Mg2 Ni4 Sn2'
_cell_length_a 4.4940
_cell_length_b 4.4940
_cell_length_c 7.4397
_cell_angle_alpha 90.00
_cell_angle_beta 90.00
_cell_angle_gamma 120.00
_symmetry_space_group_name_H-M 'P 63/m m c'
_symmetry_Int_Tables_number 194
_symmetry_space_group_name_Hall '-P 6c 2c'
loop_
_atom_site_label
_atom_site_type_symbol
_atom_site_fract_x
_atom_site_fract_y
_atom_site_fract_z
Mg1 Mg 0.3333 0.6667 0.2500
Ni1 Ni 0.3333 0.6667 0.5899
Sn1 Sn 0.0000 0.0000 0.2500
```

Its crystal system is hexagonal.

=====

#ii
The following is a GGA-PBE calculation of a geometry-optimized MgNi2Sn structure, from OQMD via LeMat-Bulk.

Cell and atoms, written as CIF:
```
data_MgNi2Sn
_chemical_formula_sum 'Mg2 Ni4 Sn2'
_cell_length_a 4.2885
_cell_length_b 4.2885
_cell_length_c 7.6220
_cell_angle_alpha 90.00
_cell_angle_beta 90.00
_cell_angle_gamma 120.00
_symmetry_space_group_name_H-M 'P 63/m m c'
_symmetry_Int_Tables_number 194
_symmetry_space_group_name_Hall '-P 6c 2c'
loop_
_atom_site_label
_atom_site_type_symbol
_atom_site_fract_x
_atom_site_fract_y
_atom_site_fract_z
Mg1 Mg 0.0000 0.0000 0.0000
Ni1 Ni 0.3333 0.6667 0.0896
Sn1 Sn 0.3333 0.6667 0.7500
```

Its crystal system is hexagonal.

=====

Which one is most stable, and which one is least stable? #ii is the most stable of them, while #i is the least stable.